(1)
! ZrInOs, optimized geometry, DFT PBE-GGA; values from VASP
&SYSTEM
  ibrav = 0, nat = 12, ntyp = 3
/
ATOMIC_SPECIES
Zr 91.22 Zr.upf
In 114.82 In.upf
Os 190.23 Os.upf
CELL_PARAMETERS angstrom
6.429 0.000 0.000
0.000 6.429 0.000
0.000 0.000 6.429
ATOMIC_POSITIONS angstrom
Zr 0.000 0.000 0.000
Zr 0.000 3.215 3.215
Zr 3.215 0.000 3.215
Zr 3.215 3.215 0.000
In 0.000 0.000 3.215
In 0.000 3.215 0.000
In 3.215 0.000 0.000
In 3.215 3.215 3.215
Os 1.607 1.607 4.822
Os 1.607 4.822 1.607
Os 4.822 1.607 1.607
Os 4.822 4.822 4.822
! E_tot: -7.464 eV/atom
! DFT formation energy: 41 meV per atom
! Spin magnetization: 0.00 Bohr magnetons per cell

***

(2)
! BP2BrCl, optimized geometry, DFT PBE-GGA; values from VASP
&SYSTEM
  ibrav = 0, nat = 5, ntyp = 4
/
ATOMIC_SPECIES
B 10.81 B.upf
P 30.97 P.upf
Br 79.90 Br.upf
Cl 35.45 Cl.upf
CELL_PARAMETERS angstrom
4.842 0.000 0.000
0.000 4.842 0.000
0.000 0.000 6.567
ATOMIC_POSITIONS angstrom
B 0.000 0.000 0.000
P 0.000 2.421 3.283
P 2.421 0.000 3.283
Br 2.421 2.421 3.283
Cl 2.421 2.421 0.000
! Formation energy (no corrections): 1.9994 eV per atom
! E_tot: -2.204 eV/atom
! Spin magnetization: 2.15 Bohr magnetons per cell
! Energy above the most stable polymorph in this dataset: 1095.4 meV/atom

***

(3)
! ZnPdPtO6, optimized geometry, DFT PBE-GGA; values from VASP
&SYSTEM
  ibrav = 0, nat = 18, ntyp = 4
/
ATOMIC_SPECIES
Zn 65.41 Zn.upf
Pd 106.42 Pd.upf
Pt 195.08 Pt.upf
O 16.00 O.upf
CELL_PARAMETERS angstrom
5.206 0.000 0.000
-2.603 4.508 0.000
0.000 0.000 8.713
ATOMIC_POSITIONS angstrom
Zn 0.000 0.000 0.000
Zn 0.000 0.000 4.357
Pd 0.000 3.006 2.178
Pd 2.603 1.503 6.535
Pt 0.000 3.006 6.535
Pt 2.603 1.503 2.178
O -0.903 1.590 5.457
O -1.678 2.931 7.612
O 0.903 1.590 7.612
O -0.775 4.496 5.457
O 1.828 0.013 1.101
O 0.925 1.577 3.256
O 1.678 2.931 5.457
O 0.775 4.496 7.612
O 3.377 0.013 3.256
O 1.700 2.919 1.101
O 4.281 1.577 1.101
O 3.506 2.919 3.256
! Formation energy (no corrections): -0.4609 eV per atom
! E_tot: -5.156 eV/atom
! Spin magnetization: 4.08 Bohr magnetons per cell

***

(4)
! USi2NiPt, optimized geometry, DFT PBE-GGA; values from VASP
&SYSTEM
  ibrav = 0, nat = 10, ntyp = 4
/
ATOMIC_SPECIES
U 238.03 U.upf
Si 28.09 Si.upf
Ni 58.69 Ni.upf
Pt 195.08 Pt.upf
CELL_PARAMETERS angstrom
3.981 0.000 0.000
0.000 3.981 0.000
0.000 0.000 10.108
ATOMIC_POSITIONS angstrom
U 0.000 0.000 0.000
U 1.991 1.991 5.054
Si 0.000 0.000 3.889
Si 0.000 0.000 6.219
Si 1.991 1.991 1.165
Si 1.991 1.991 8.943
Ni 0.000 1.991 2.527
Ni 1.991 0.000 7.581
Pt 0.000 1.991 7.581
Pt 1.991 0.000 2.527
! Formation energy (no corrections): -0.6727 eV per atom
! E_tot: -7.464 eV/atom
! Spin magnetization: 4.09 Bohr magnetons per cell

***

(5)
! AcTlZnBi, optimized geometry, DFT PBE-GGA; values from VASP
&SYSTEM
  ibrav = 0, nat = 16, ntyp = 4
/
ATOMIC_SPECIES
Ac 227.00 Ac.upf
Tl 204.38 Tl.upf
Zn 65.41 Zn.upf
Bi 208.98 Bi.upf
CELL_PARAMETERS angstrom
7.953 0.000 0.000
0.000 7.953 0.000
0.000 0.000 7.953
ATOMIC_POSITIONS angstrom
Ac 0.000 0.000 0.000
Ac 0.000 3.977 3.977
Ac 3.977 0.000 3.977
Ac 3.977 3.977 0.000
Tl 0.000 0.000 3.977
Tl 0.000 3.977 0.000
Tl 3.977 0.000 0.000
Tl 3.977 3.977 3.977
Zn 1.988 1.988 1.988
Zn 1.988 5.965 5.965
Zn 5.965 1.988 5.965
Zn 5.965 5.965 1.988
Bi 1.988 1.988 5.965
Bi 1.988 5.965 1.988
Bi 5.965 1.988 1.988
Bi 5.965 5.965 5.965
! E_tot: -3.152 eV/atom
! DFT formation energy: -244 meV per atom
! Spin magnetization: 0.00 Bohr magnetons per cell

***

(6)
! Ca3CeDy2Se6, optimized geometry, DFT PBE-GGA; values from VASP
&SYSTEM
  ibrav = 0, nat = 12, ntyp = 4
/
ATOMIC_SPECIES
Ca 40.08 Ca.upf
Ce 140.12 Ce.upf
Dy 162.50 Dy.upf
Se 78.96 Se.upf
CELL_PARAMETERS angstrom
3.585 -6.203 0.000
3.585 6.203 0.000
-2.389 0.000 6.878
ATOMIC_POSITIONS angstrom
Ca 0.000 0.000 0.000
Ca 3.585 2.050 0.000
Ca 3.585 -2.050 0.000
Ce 2.390 0.000 3.439
Dy 2.390 4.132 3.439
Dy 2.390 -4.132 3.439
Se 1.169 2.111 1.725
Se -0.051 0.000 5.147
Se 1.169 -2.111 1.725
Se 3.611 2.111 5.153
Se 4.831 0.000 1.731
Se 3.611 -2.111 5.153
! Formation energy (no corrections): -1.8637 eV per atom
! E_tot: -5.368 eV/atom
! Spin magnetization: 1.41 Bohr magnetons per cell

***

Among the records above, which one has the highest E_tot? BP2BrCl